(1)
Below is a geometry-optimized CoHRu structure, with properties calculated at the PBE level.

The structure in POSCAR format:
```
CoHRu
1.0
4.554 0.000 -0.023
0.000 2.708 0.000
-1.556 0.000 8.769
Ru H Co
4 4 4
Cartesian
0.741 1.354 5.524 Ru
1.479 0.000 7.606 Ru
1.519 0.000 1.140 Ru
2.257 1.354 3.222 Ru
0.000 0.000 0.000 H
1.499 0.000 4.373 H
2.277 1.354 -0.012 H
-0.778 1.354 4.384 H
-0.049 0.000 3.213 Co
3.047 0.000 5.533 Co
3.824 1.354 1.148 Co
-0.826 1.354 7.598 Co
```

Values from the calculation:
SG: C2/m (12)
Energy above the lowest structure with this stoichiometry (meV/atom): 13.7
Raw total energy (eV per atom): -6.460
Total magnetization (μB per formula unit): 1.135

(2)
Below is a geometry-optimized Zr2SnHPt structure, with properties calculated at the PBE level.

The structure in POSCAR format:
```
Zr2SnHPt
1.0
4.429 0.000 0.000
0.000 4.429 0.000
0.000 0.000 4.194
Pt H Zr Sn
1 1 2 1
Cartesian
0.000 0.000 2.097 Pt
0.000 0.000 0.000 H
0.000 2.214 0.000 Zr
2.214 0.000 0.000 Zr
2.214 2.214 2.097 Sn
```

Values from the calculation:
SG: P4/mmm (123)
Raw total energy (eV per atom): -6.681
Total magnetization (μB per formula unit): 0.000